No. 1
KSrCa2 | PBEsol | relaxed

Excess energy over the best structure of this formula in the dataset, eV/atom: 0.065
Formation energy, eV per atom: 0.148
Space group: No. 119
DFT total energy, hartree per atom: -0.061

a = 5.800 Å, b = 5.800 Å, c = 7.038 Å
α = 114.33°, β = 114.33°, γ = 90.00°
Fractional coordinates of all 4 atoms:
Sr: 0.250 0.750 0.500
K: 0.500 0.500 0.000
Ca: 0.750 0.250 0.500
Ca: 0.000 0.000 0.000


No. 2
KSrCa | PBEsol | relaxed

Formation energy, eV per atom: 0.144
Space group: No. 156
DFT total energy, hartree per atom: -0.057

a = 3.996 Å, b = 6.678 Å, c = 6.678 Å
α = 120.00°, β = 90.00°, γ = 90.00°
Fractional coordinates of all 3 atoms:
K: 0.697 0.333 0.667
Ca: 0.945 0.000 0.000
Sr: 0.358 0.667 0.333


No. 3
KSrCa | PBEsol | relaxed

Formation energy, eV per atom: 0.103
Space group: No. 42
DFT total energy, hartree per atom: -0.059

a = 4.006 Å, b = 4.006 Å, c = 10.580 Å
α = 96.86°, β = 96.86°, γ = 111.66°
Fractional coordinates of all 3 atoms:
Ca: 0.006 0.006 0.012
K: 0.337 0.337 0.673
Sr: 0.658 0.658 0.315


No. 4
KSr2CaZn | PBEsol | relaxed

Formation energy, eV per atom: 0.171
Space group: No. 123
DFT total energy, hartree per atom: -0.056

a = 6.148 Å, b = 6.148 Å, c = 6.269 Å
α = 90.00°, β = 90.00°, γ = 90.00°
Fractional coordinates of all 5 atoms:
Zn: 0.000 0.000 0.000
Sr: 0.000 0.500 0.000
Sr: 0.500 0.000 0.000
K: 0.000 0.000 0.500
Ca: 0.500 0.500 0.500


No. 5
KCaTa3 | PBEsol | relaxed

Formation energy, eV per atom: 2.801
Space group: No. 221
DFT total energy, hartree per atom: -0.198

a = 4.952 Å, b = 4.952 Å, c = 4.952 Å
α = 90.00°, β = 90.00°, γ = 90.00°
Fractional coordinates of all 5 atoms:
Ta: 0.000 0.500 0.000
Ca: 0.000 0.000 0.000
Ta: 0.500 0.000 0.000
Ta: 0.000 0.000 0.500
K: 0.500 0.500 0.500


No. 6
KCa2Tc | PBEsol | relaxed

Formation energy, eV per atom: 0.869
Space group: No. 25
DFT total energy, hartree per atom: -0.121

a = 3.452 Å, b = 4.484 Å, c = 8.858 Å
α = 90.00°, β = 90.00°, γ = 90.00°
Last column: magnetic moment on the atom in μB.
Fractional coordinates of all 4 atoms:
Ca: 0.500 0.500 0.173  -0.01
Tc: 0.500 0.500 0.846  1.66
Ca: 0.000 0.000 0.931  -0.01
K: 0.000 0.000 0.550  -0.01


No. 7
KCaTc2 | PBEsol | relaxed

Excess energy over the best structure of this formula in the dataset, eV/atom: 0.000
Formation energy, eV per atom: 0.650
Space group: No. 8
DFT total energy, hartree per atom: -0.213

a = 3.114 Å, b = 4.224 Å, c = 8.975 Å
α = 92.76°, β = 90.00°, γ = 111.63°
Fractional coordinates of all 4 atoms:
Tc: 0.982 0.964 0.902
K: 0.738 0.475 0.181
Tc: 0.263 0.525 0.815
Ca: 0.518 0.036 0.602


No. 8
KCaTc2 | PBEsol | relaxed

Excess energy over the best structure of this formula in the dataset, eV/atom: 0.518
Formation energy, eV per atom: 1.169
Space group: No. 65
DFT total energy, hartree per atom: -0.194

a = 2.668 Å, b = 5.253 Å, c = 5.922 Å
α = 116.33°, β = 90.00°, γ = 90.00°
Fractional coordinates of all 4 atoms:
K: 0.500 0.500 0.000
Tc: 0.000 0.500 0.500
Tc: 0.000 0.000 0.500
Ca: 0.500 0.000 0.000


- Which value of DFT total energy does entry 8 give?
  -0.194 hartree per atom